A plane-wave DFT calculation with PBE was carried out for a relaxed Ho2HfU2Ru5 crystal.

Unit cell a=10.475 b=10.475 c=3.517 alpha=90.00 beta=90.00 gamma=90.00
Sites, in units of the cell vectors:
Ho: 0.173 0.327 0.000
Ho: 0.327 0.827 0.000
Ho: 0.673 0.173 0.000
Ho: 0.827 0.673 0.000
Hf: 0.000 0.000 0.000
Hf: 0.500 0.500 0.000
U: 0.138 0.638 0.000
U: 0.362 0.138 0.000
U: 0.638 0.862 0.000
U: 0.862 0.362 0.000
Ru: 0.000 0.500 0.500
Ru: 0.051 0.797 0.500
Ru: 0.203 0.051 0.500
Ru: 0.297 0.551 0.500
Ru: 0.449 0.297 0.500
Ru: 0.500 0.000 0.500
Ru: 0.551 0.703 0.500
Ru: 0.703 0.449 0.500
Ru: 0.797 0.949 0.500
Ru: 0.949 0.203 0.500

Computed properties:
The crystal system is tetragonal. The value obtained for the mass density is 12.8 g/cm3. The energy of formation from the pure elements is -0.30 eV/atom. The total energy comes out at -9.11 eV per atom.

---

A plane-wave DFT calculation with PBE was carried out for a relaxed Hf3NpC4 crystal.

Unit cell a=5.779 b=5.779 c=5.779 alpha=131.73 beta=131.73 gamma=70.66
Sites, in units of the cell vectors:
Hf: 0.000 0.000 0.000
Hf: 0.250 0.750 0.500
Hf: 0.750 0.250 0.500
Np: 0.500 0.500 0.000
C: 0.000 0.500 0.500
C: 0.256 0.256 0.000
C: 0.500 0.000 0.500
C: 0.744 0.744 0.000

Computed properties:
The crystal system is tetragonal. The value obtained for the mass density is 12.9 g/cm3. The energy of formation from the pure elements is -0.66 eV/atom. The total energy comes out at -10.62 eV per atom.

---

A plane-wave DFT calculation with PBE was carried out for a relaxed Pm2Pr4DyY2 crystal.

Unit cell a=8.185 b=8.185 c=8.140 alpha=107.59 beta=107.59 gamma=36.84
Sites, in units of the cell vectors:
Pm: 0.111 0.111 0.169
Pm: 0.889 0.889 0.831
Pr: 0.222 0.222 0.832
Pr: 0.445 0.445 0.169
Pr: 0.555 0.555 0.831
Pr: 0.778 0.778 0.168
Dy: 0.000 0.000 0.500
Y: 0.333 0.333 0.500
Y: 0.667 0.667 0.500

Computed properties:
The crystal system is monoclinic. The value obtained for the mass density is 6.4 g/cm3. The energy of formation from the pure elements is 0.02 eV/atom. The total energy comes out at -5.11 eV per atom.

---

A plane-wave DFT calculation with PBE was carried out for a relaxed BaGa2BRh crystal.

Unit cell a=4.209 b=4.209 c=5.803 alpha=90.00 beta=90.00 gamma=90.00
Sites, in units of the cell vectors:
Ba: 0.000 0.000 0.000
Ga: 0.000 0.500 0.500
Ga: 0.500 0.000 0.500
B: 0.000 0.000 0.500
Rh: 0.500 0.500 0.000

Computed properties:
The crystal system is tetragonal. The value obtained for the mass density is 6.3 g/cm3. The energy of formation from the pure elements is 0.47 eV/atom. The total energy comes out at -3.93 eV per atom.

---

A plane-wave DFT calculation with PBE was carried out for a relaxed Mg3C crystal.

Unit cell a=8.180 b=8.180 c=8.180 alpha=23.70 beta=23.70 gamma=23.70
Sites, in units of the cell vectors:
Mg: 0.000 0.000 0.000
Mg: 0.211 0.211 0.211
Mg: 0.789 0.789 0.789
C: 0.500 0.500 0.500

Computed properties:
The energy above the lowest structure with this stoichiometry is 0.084 eV/atom. The crystal system is trigonal. The value obtained for the mass density is 1.8 g/cm3. The energy of formation from the pure elements is 0.42 eV/atom. The total energy comes out at -3.08 eV per atom.

---

A plane-wave DFT calculation with PBE was carried out for a relaxed Sc2SiAg2 crystal.

Unit cell a=6.860 b=6.860 c=4.163 alpha=90.00 beta=90.00 gamma=90.00
Sites, in units of the cell vectors:
Sc: 0.171 0.329 0.000
Sc: 0.329 0.829 0.000
Sc: 0.671 0.171 0.000
Sc: 0.829 0.671 0.000
Si: 0.000 0.000 0.500
Si: 0.500 0.500 0.500
Ag: 0.139 0.639 0.500
Ag: 0.361 0.139 0.500
Ag: 0.639 0.861 0.500
Ag: 0.861 0.361 0.500

Computed properties:
The energy relative to the elements, uncorrected is -0.1852 eV/atom. The crystal system is tetragonal. The value obtained for the mass density is 5.7 g/cm3. The total energy comes out at -4.94 eV per atom.

---

A plane-wave DFT calculation with PBE was carried out for a relaxed In2HgI2 crystal.

Unit cell a=10.347 b=6.804 c=11.833 alpha=90.00 beta=90.00 gamma=90.00
Sites, in units of the cell vectors:
In: 0.046 0.250 0.136
In: 0.123 0.250 0.606
In: 0.377 0.750 0.106
In: 0.454 0.750 0.636
In: 0.546 0.250 0.364
In: 0.623 0.250 0.894
In: 0.877 0.750 0.394
In: 0.954 0.750 0.864
Hg: 0.235 0.250 0.355
Hg: 0.265 0.750 0.855
Hg: 0.735 0.250 0.145
Hg: 0.765 0.750 0.645
I: 0.035 0.750 0.136
I: 0.148 0.750 0.552
I: 0.352 0.250 0.052
I: 0.465 0.250 0.636
I: 0.535 0.750 0.364
I: 0.648 0.750 0.948
I: 0.852 0.250 0.448
I: 0.965 0.250 0.864

Computed properties:
The energy relative to the elements, uncorrected is -0.3394 eV/atom. The energy above the lowest structure with this stoichiometry is 0.007 eV/atom. The crystal system is orthorhombic. The value obtained for the mass density is 5.5 g/cm3. The total energy comes out at -2.12 eV per atom.

---

A plane-wave DFT calculation with PBE was carried out for a relaxed AcSm2HoSe4 crystal.

Unit cell a=7.226 b=4.150 c=7.504 alpha=90.00 beta=108.58 gamma=90.00
Sites, in units of the cell vectors:
Ac: 0.000 0.000 0.000
Sm: 0.500 0.000 0.500
Sm: 0.500 0.500 0.000
Ho: 0.000 0.500 0.500
Se: 0.247 0.000 0.735
Se: 0.259 0.500 0.268
Se: 0.741 0.500 0.732
Se: 0.753 0.000 0.265

Computed properties:
The energy relative to the elements, uncorrected is -1.7747 eV/atom. The crystal system is monoclinic. The value obtained for the mass density is 7.9 g/cm3. The total energy comes out at -5.78 eV per atom.

---

A plane-wave DFT calculation with PBE was carried out for a relaxed Nd8Os3RuBr4 crystal.

Unit cell a=8.267 b=8.267 c=9.150 alpha=116.87 beta=116.87 gamma=60.04
Sites, in units of the cell vectors:
Nd: 0.232 0.232 0.696
Nd: 0.232 0.732 0.696
Nd: 0.267 0.267 0.303
Nd: 0.268 0.768 0.304
Nd: 0.732 0.232 0.696
Nd: 0.733 0.733 0.697
Nd: 0.768 0.268 0.304
Nd: 0.768 0.768 0.304
Os: 0.000 0.500 0.500
Os: 0.500 0.000 0.500
Os: 0.500 0.500 0.500
Ru: 0.000 0.000 0.500
Br: 0.000 0.000 0.000
Br: 0.000 0.500 0.000
Br: 0.500 0.000 0.000
Br: 0.500 0.500 0.000

Computed properties:
The energy relative to the elements, uncorrected is -0.6459 eV/atom. The crystal system is monoclinic. The value obtained for the mass density is 7.7 g/cm3. The total energy comes out at -6.13 eV per atom.

---

A plane-wave DFT calculation with PBE was carried out for a relaxed Th4Rh12Au crystal.

Unit cell a=7.389 b=7.389 c=7.389 alpha=109.47 beta=109.47 gamma=109.47
Sites, in units of the cell vectors:
Th: 0.000 0.000 0.500
Th: 0.000 0.500 0.000
Th: 0.500 0.000 0.000
Th: 0.500 0.500 0.500
Rh: 0.000 0.307 0.307
Rh: 0.000 0.693 0.693
Rh: 0.250 0.500 0.750
Rh: 0.250 0.750 0.500
Rh: 0.307 0.000 0.307
Rh: 0.307 0.307 0.000
Rh: 0.500 0.250 0.750
Rh: 0.500 0.750 0.250
Rh: 0.693 0.000 0.693
Rh: 0.693 0.693 0.000
Rh: 0.750 0.250 0.500
Rh: 0.750 0.500 0.250
Au: 0.000 0.000 0.000

Computed properties:
The crystal system is cubic. The value obtained for the mass density is 12.6 g/cm3. The energy of formation from the pure elements is -0.61 eV/atom. The total energy comes out at -7.73 eV per atom.

---

A plane-wave DFT calculation with PBE was carried out for a relaxed PO crystal.

Unit cell a=3.458 b=3.458 c=3.458 alpha=60.00 beta=60.00 gamma=60.00
Sites, in units of the cell vectors:
P: 0.000 0.000 0.000
O: 0.250 0.250 0.250

Computed properties:
The energy relative to the elements, uncorrected is 0.4095 eV/atom. The energy above the lowest structure with this stoichiometry is 1.481 eV/atom. The crystal system is cubic. The value obtained for the mass density is 2.7 g/cm3. The total energy comes out at -4.77 eV per atom.

---

A plane-wave DFT calculation with PBE was carried out for a relaxed LiVNi2H crystal.

Unit cell a=3.643 b=3.643 c=3.736 alpha=90.00 beta=90.00 gamma=90.00
Sites, in units of the cell vectors:
Li: 0.000 0.000 0.000
V: 0.500 0.500 0.000
Ni: 0.000 0.500 0.500
Ni: 0.500 0.000 0.500
H: 0.000 0.000 0.500

Computed properties:
The crystal system is tetragonal. The value obtained for the mass density is 5.9 g/cm3. The total energy comes out at -5.10 eV per atom.